<w>
Na2GaAu2, optimized geometry, DFT PBE; symmetry = I4/mmm (139); spin magnetization = 0.00 μB per formula unit
1.0
-1.928 1.928 8.269
1.928 -1.928 8.269
1.928 1.928 -8.269
Na Ga Au
2 1 2
Cartesian
0.000 0.000 1.777 Na
0.000 0.000 14.761 Na
0.000 0.000 8.269 Ga
1.928 0.000 4.134 Au
0.000 1.928 4.134 Au

<x>
Na2GaAu2, optimized geometry, DFT PBE; symmetry = Immm (71); spin magnetization = 0.00 μB per formula unit
1.0
-2.053 2.967 4.671
2.053 -2.967 4.671
2.053 2.967 -4.671
Na Ga Au
2 1 2
Cartesian
0.000 0.000 1.883 Na
0.000 0.000 7.460 Na
0.000 2.967 0.000 Ga
2.053 1.397 0.000 Au
0.000 1.570 4.671 Au

<y>
Na2GaAu2, optimized geometry, DFT PBE; symmetry = P4/mbm (127); spin magnetization = 0.00 μB per formula unit
1.0
6.960 0.000 0.000
0.000 6.960 0.000
0.000 0.000 4.587
Na Ga Au
4 2 4
Cartesian
1.133 2.347 0.000 Na
2.347 5.827 0.000 Na
4.613 1.133 0.000 Na
5.827 4.613 0.000 Na
0.000 0.000 2.293 Ga
3.480 3.480 2.293 Ga
1.017 4.497 2.293 Au
2.463 1.017 2.293 Au
4.497 5.944 2.293 Au
5.944 2.463 2.293 Au

Stability comparison, relative energies in meV per atom: <w> 275; <x> 0; <y> 21

<w>
Na3Ga3Au2, optimized geometry, DFT PBE; symmetry = Pnma (62); spin magnetization = 0.00 μB per formula unit
1.0
8.084 0.000 0.000
0.000 15.619 0.000
0.000 0.000 5.763
Na Ga Au
12 12 8
Cartesian
0.298 1.760 0.592 Na
0.298 6.049 0.592 Na
1.502 3.905 3.559 Na
2.540 11.714 0.678 Na
3.744 9.570 3.473 Na
3.744 13.858 3.473 Na
4.340 1.760 2.289 Na
4.340 6.049 2.289 Na
5.545 3.905 5.085 Na
6.582 11.714 2.204 Na
7.787 9.570 5.170 Na
7.787 13.858 5.170 Na
1.320 11.714 3.539 Ga
1.528 0.616 3.476 Ga
1.528 7.193 3.476 Ga
2.514 8.425 0.594 Ga
2.514 15.003 0.594 Ga
2.722 3.905 0.658 Ga
5.363 11.714 5.104 Ga
5.570 0.616 5.168 Ga
5.570 7.193 5.168 Ga
6.556 8.425 2.287 Ga
6.556 15.003 2.287 Ga
6.764 3.905 2.223 Ga
0.863 9.496 2.307 Au
0.863 13.932 2.307 Au
3.179 1.687 5.189 Au
3.179 6.123 5.189 Au
4.905 9.496 0.574 Au
4.905 13.932 0.574 Au
7.221 1.687 3.455 Au
7.221 6.123 3.455 Au

<x>
Na3Ga3Au2, optimized geometry, DFT PBE; symmetry = Cmcm (63); spin magnetization = 0.00 μB per formula unit
1.0
2.258 -5.277 0.000
2.258 5.277 0.000
0.000 0.000 15.108
Na Ga Au
6 6 4
Cartesian
2.258 4.392 9.248 Na
2.258 4.392 13.414 Na
2.258 1.172 11.331 Na
2.258 -1.172 3.777 Na
2.258 -4.392 1.694 Na
2.258 -4.392 5.860 Na
2.258 1.965 3.777 Ga
2.258 1.253 8.090 Ga
2.258 1.253 14.572 Ga
2.258 -1.253 0.536 Ga
2.258 -1.253 7.018 Ga
2.258 -1.965 11.331 Ga
2.258 3.092 1.495 Au
2.258 3.092 6.059 Au
2.258 -3.092 9.049 Au
2.258 -3.092 13.613 Au

Stability comparison, relative energies in meV per atom: <w> 19; <x> 0

<w>
Na3Ga4Au4, optimized geometry, DFT PBE; symmetry = Immm (71); spin magnetization = 0.00 μB per formula unit
1.0
-2.184 3.715 6.995
2.184 -3.715 6.995
2.184 3.715 -6.995
Na Ga Au
3 4 4
Cartesian
0.000 0.000 0.000 Na
2.184 0.000 5.351 Na
0.000 3.715 1.644 Na
2.184 1.454 -2.480 Ga
2.184 1.454 2.480 Ga
0.000 2.262 4.515 Ga
0.000 2.262 9.475 Ga
0.000 0.000 3.044 Au
2.184 2.205 0.000 Au
0.000 1.511 6.995 Au
0.000 0.000 10.946 Au

<x>
Na3Ga4Au4, optimized geometry, DFT PBE; symmetry = Immm (71); spin magnetization = 0.00 μB per formula unit
1.0
-1.820 2.283 13.847
1.820 -2.283 13.847
1.820 2.283 -13.847
Na Ga Au
3 4 4
Cartesian
0.000 0.000 0.000 Na
1.820 0.000 9.875 Na
0.000 2.283 3.972 Na
1.820 0.000 2.627 Ga
0.000 0.000 7.198 Ga
0.000 0.000 20.496 Ga
0.000 2.283 11.220 Ga
1.820 0.000 5.205 Au
0.000 0.000 12.406 Au
0.000 0.000 15.288 Au
0.000 2.283 8.642 Au

Stability comparison, relative energies in meV per atom: <w> 0; <x> 56

<w>
NaGa4Au, optimized geometry, DFT PBE; symmetry = P-1 (2); spin magnetization = 0.00 μB per formula unit
1.0
6.361 0.000 0.000
-0.023 7.028 0.000
-3.154 -2.642 5.737
Na Ga Au
2 8 2
Cartesian
0.382 1.754 0.002 Na
2.802 2.632 5.735 Na
-0.772 3.273 2.540 Ga
0.794 -0.246 2.556 Ga
-0.304 1.665 4.750 Ga
0.317 -1.853 4.745 Ga
2.866 6.239 0.992 Ga
3.488 2.721 0.987 Ga
2.390 4.633 3.181 Ga
3.955 1.113 3.197 Ga
-1.577 -1.321 2.868 Au
1.592 2.193 2.868 Au

<x>
NaGa4Au, optimized geometry, DFT PBE; symmetry = F-43m (216); spin magnetization = 0.00 μB per formula unit
1.0
0.000 3.898 3.898
3.898 0.000 3.898
3.898 3.898 0.000
Na Ga Au
1 4 1
Cartesian
0.000 0.000 0.000 Na
4.869 2.927 2.927 Ga
2.927 4.869 2.927 Ga
2.927 2.927 4.869 Ga
4.869 4.869 4.869 Ga
1.949 1.949 1.949 Au

Stability comparison, relative energies in meV per atom: <w> 0; <x> 127

<w>
NaGa6Au12, optimized geometry, DFT PBE; symmetry = R-3m (166); spin magnetization = 0.00 μB per formula unit
1.0
6.023 3.477 2.964
-6.023 3.477 2.964
0.000 -6.954 2.964
Na Ga Au
1 6 12
Cartesian
0.000 0.000 0.000 Na
0.000 -2.883 3.734 Ga
-2.497 1.441 3.734 Ga
-2.497 -1.441 5.159 Ga
2.497 1.441 3.734 Ga
2.497 -1.441 5.159 Ga
0.000 2.883 5.159 Ga
-2.301 -3.985 4.446 Au
-4.602 0.000 4.446 Au
-1.462 -0.844 2.636 Au
1.462 -0.844 2.636 Au
0.000 1.689 2.636 Au
2.301 -3.985 4.446 Au
-2.301 3.985 4.446 Au
0.000 -1.689 6.257 Au
-1.462 0.844 6.257 Au
1.462 0.844 6.257 Au
4.602 0.000 4.446 Au
2.301 3.985 4.446 Au

<x>
NaGa6Au12, optimized geometry, DFT PBE; symmetry = R-3 (148); spin magnetization = 0.00 μB per formula unit
1.0
6.049 3.492 2.841
-6.049 3.492 2.841
0.000 -6.985 2.841
Na Ga Au
1 6 12
Cartesian
0.000 0.000 0.000 Na
-2.974 0.130 2.100 Ga
1.375 -2.641 2.100 Ga
1.600 2.511 2.100 Ga
-1.600 -2.511 6.422 Ga
-1.375 2.641 6.422 Ga
2.974 -0.130 6.422 Ga
-0.511 -4.114 3.300 Au
-1.089 -1.329 3.088 Au
-3.818 -1.615 5.222 Au
-3.308 2.499 3.300 Au
-0.607 1.608 3.088 Au
1.695 -0.278 3.088 Au
-1.695 0.278 5.434 Au
0.607 -1.608 5.434 Au
3.308 -2.499 5.222 Au
3.818 1.615 3.300 Au
1.089 1.329 5.434 Au
0.511 4.114 5.222 Au

Stability comparison, relative energies in meV per atom: <w> 28; <x> 0

<w>
Na2Ga5Au, optimized geometry, DFT PBE; symmetry = Cmcm (63); spin magnetization = 0.00 μB per formula unit
1.0
2.210 -8.325 0.000
2.210 8.325 0.000
0.000 0.000 9.198
Na Ga Au
4 10 2
Cartesian
0.000 0.000 0.000 Na
0.000 0.000 4.599 Na
2.210 5.157 6.899 Na
2.210 -5.157 2.300 Na
2.210 5.149 0.974 Ga
2.210 5.149 3.625 Ga
2.210 2.485 0.273 Ga
2.210 2.485 4.326 Ga
2.210 1.688 6.899 Ga
2.210 -1.688 2.300 Ga
2.210 -2.485 4.872 Ga
2.210 -2.485 8.925 Ga
2.210 -5.149 5.574 Ga
2.210 -5.149 8.224 Ga
2.210 0.856 2.300 Au
2.210 -0.856 6.899 Au

<x>
Na2Ga5Au, optimized geometry, DFT PBE; symmetry = I4mm (107); spin magnetization = 0.00 μB per formula unit
1.0
-2.809 2.809 6.098
2.809 -2.809 6.098
2.809 2.809 -6.098
Na Ga Au
2 5 1
Cartesian
2.809 0.000 0.000 Na
0.000 2.809 0.000 Na
0.000 0.000 4.797 Ga
1.369 1.369 2.941 Ga
1.440 -1.440 9.038 Ga
-1.440 1.440 9.038 Ga
1.440 1.440 9.038 Ga
0.000 0.000 7.301 Au

Stability comparison, relative energies in meV per atom: <w> 0; <x> 110

<w>
NaGa2Au2, optimized geometry, DFT PBE; symmetry = P2_1/m (11); spin magnetization = 0.00 μB per formula unit
1.0
4.778 0.000 0.000
0.000 4.706 0.000
-0.212 0.000 9.479
Na Ga Au
2 4 4
Cartesian
1.058 1.177 2.392 Na
3.508 3.530 7.087 Na
0.768 1.177 5.770 Ga
1.283 3.530 0.011 Ga
3.283 1.177 9.468 Ga
3.798 3.530 3.709 Ga
0.895 1.177 8.316 Au
1.386 3.530 4.805 Au
3.180 1.177 4.673 Au
3.671 3.530 1.163 Au

<x>
NaGa2Au2, optimized geometry, DFT PBE; symmetry = I4/mmm (139); spin magnetization = 0.00 μB per formula unit
1.0
-2.143 2.143 5.839
2.143 -2.143 5.839
2.143 2.143 -5.839
Na Ga Au
1 2 2
Cartesian
0.000 0.000 0.000 Na
2.143 0.000 2.919 Ga
0.000 2.143 2.919 Ga
0.000 0.000 4.470 Au
0.000 0.000 7.208 Au

Stability comparison, relative energies in meV per atom: <w> 0; <x> 30

<w>
NaGa2Au2, optimized geometry, DFT PBE; symmetry = I4/mmm (139); spin magnetization = 0.00 μB per formula unit
1.0
-2.387 2.387 4.738
2.387 -2.387 4.738
2.387 2.387 -4.738
Na Ga Au
1 2 2
Cartesian
0.000 0.000 0.000 Na
0.000 0.000 3.445 Ga
0.000 0.000 6.030 Ga
2.387 0.000 2.369 Au
0.000 2.387 2.369 Au

<x>
NaGa2Au2, optimized geometry, DFT PBE; symmetry = P4/mbm (127); spin magnetization = 0.00 μB per formula unit
1.0
7.923 0.000 0.000
0.000 7.923 0.000
0.000 0.000 3.042
Na Ga Au
2 4 4
Cartesian
0.000 0.000 0.000 Na
3.961 3.961 0.000 Na
0.981 2.981 0.000 Ga
2.981 6.942 0.000 Ga
4.942 0.981 0.000 Ga
6.942 4.942 0.000 Ga
1.410 5.372 1.521 Au
2.551 1.410 1.521 Au
5.372 6.512 1.521 Au
6.512 2.551 1.521 Au

Stability comparison, relative energies in meV per atom: <w> 0; <x> 50

<w>
Na2GaAu3, optimized geometry, DFT PBE; symmetry = R-3m (166); spin magnetization = 0.00 μB per formula unit
1.0
2.894 1.671 4.199
-2.894 1.671 4.199
0.000 -3.342 4.199
Na Ga Au
2 1 3
Cartesian
0.000 0.000 1.551 Na
0.000 0.000 11.045 Na
0.000 0.000 6.298 Ga
-1.447 -0.836 4.199 Au
-1.447 0.836 8.397 Au
0.000 1.671 4.199 Au

<x>
Na2GaAu3, optimized geometry, DFT PBE; symmetry = Immm (71); spin magnetization = 0.00 μB per formula unit
1.0
-2.212 2.662 6.049
2.212 -2.662 6.049
2.212 2.662 -6.049
Na Ga Au
2 1 3
Cartesian
0.000 0.000 2.442 Na
0.000 0.000 9.655 Na
0.000 0.000 6.049 Ga
2.212 0.000 0.000 Au
2.212 0.000 4.589 Au
0.000 2.662 1.460 Au

Stability comparison, relative energies in meV per atom: <w> 0; <x> 205

<w>
NaGa4Au2, optimized geometry, DFT PBE; symmetry = Pnma (62); spin magnetization = 0.00 μB per formula unit
1.0
16.854 0.000 0.000
0.000 4.427 0.000
0.000 0.000 7.273
Na Ga Au
4 16 8
Cartesian
2.447 1.107 0.354 Na
5.979 3.320 3.991 Na
10.874 1.107 3.282 Na
14.406 3.320 6.919 Na
0.646 3.320 6.376 Ga
1.039 1.107 3.346 Ga
3.125 3.320 5.491 Ga
3.167 3.320 2.559 Ga
5.260 1.107 6.196 Ga
5.302 1.107 1.854 Ga
7.388 3.320 6.982 Ga
7.781 1.107 2.740 Ga
9.072 3.320 4.533 Ga
9.465 1.107 0.291 Ga
11.552 3.320 5.419 Ga
11.594 3.320 1.077 Ga
13.687 1.107 4.714 Ga
13.729 1.107 1.782 Ga
15.815 3.320 3.927 Ga
16.208 1.107 0.897 Ga
0.585 3.320 1.797 Au
3.626 1.107 4.058 Au
4.801 3.320 0.422 Au
7.842 1.107 5.434 Au
9.011 3.320 1.839 Au
12.053 1.107 6.851 Au
13.228 3.320 3.215 Au
16.269 1.107 5.476 Au

<x>
NaGa4Au2, optimized geometry, DFT PBE; symmetry = Cmmm (65); spin magnetization = 0.00 μB per formula unit
1.0
2.188 -8.457 0.000
2.188 8.457 0.000
0.000 0.000 3.787
Na Ga Au
1 4 2
Cartesian
0.000 0.000 0.000 Na
2.188 5.548 1.894 Ga
2.188 3.311 0.000 Ga
2.188 -3.311 0.000 Ga
2.188 -5.548 1.894 Ga
2.188 1.372 1.894 Au
2.188 -1.372 1.894 Au

Stability comparison, relative energies in meV per atom: <w> 0; <x> 70